Computed, not measured: Sc2Pd3Rh after structural relaxation at the GGA-PBE level of DFT.

Mass density (g cm⁻³): 8.0
Spin magnetization (μB per cell): 0.00
Density of states at the Fermi level (states/eV per atom): 0.486
Space-group type: Ibam
DFT formation energy (kJ per mole of atoms): -65.72

Cell lengths 5.785, 5.791, 7.532 Å; angles 112.61, 112.58, 90.00 degrees
Element x y z (fractional)
1 Rh 0.000 0.750 0.000
2 Rh 0.000 0.250 0.000
3 Sc 0.384 0.146 0.291
4 Sc 0.616 0.854 0.709
5 Sc 0.907 0.646 0.291
6 Sc 0.093 0.354 0.709
7 Pd 0.103 0.850 0.699
8 Pd 0.500 0.750 0.000
9 Pd 0.897 0.150 0.301
10 Pd 0.404 0.650 0.301
11 Pd 0.500 0.250 0.000
12 Pd 0.596 0.350 0.699